No. 1
A geometry-optimized TeP2AuO structure. Source: the Alexandria database, functional PBE.

## Properties
polymorph energy (0 for the lowest one): 0.000 eV/atom
space-group type: P4/mmm, No. 123

CIF file:
```
data_TeP2AuO
_chemical_formula_sum 'Te1 P2 Au1 O1'
_cell_length_a 4.9075
_cell_length_b 4.9075
_cell_length_c 3.9900
_cell_angle_alpha 90.00
_cell_angle_beta 90.00
_cell_angle_gamma 90.00
_space_group_name_H-M_alt 'P 1'
_space_group_IT_number 1
loop_
_space_group_symop_operation_xyz
'x,y,z'
loop_
_atom_site_label
_atom_site_type_symbol
_atom_site_fract_x
_atom_site_fract_y
_atom_site_fract_z
O1 O 0.0000 0.0000 0.5000
Te1 Te 0.5000 0.5000 0.5000
P1 P 0.0000 0.5000 0.0000
P2 P 0.5000 0.0000 0.0000
Au1 Au 0.0000 0.0000 0.0000
```

***

No. 2
A geometry-optimized TeP2AuO structure. Source: the Alexandria database, functional PBE.

## Properties
polymorph energy (0 for the lowest one): 0.025 eV/atom
space-group type: P4/mmm, No. 123

CIF file:
```
data_TeP2AuO
_chemical_formula_sum 'Te1 P2 Au1 O1'
_cell_length_a 5.1406
_cell_length_b 5.1406
_cell_length_c 3.8709
_cell_angle_alpha 90.00
_cell_angle_beta 90.00
_cell_angle_gamma 90.00
_space_group_name_H-M_alt 'P 1'
_space_group_IT_number 1
loop_
_space_group_symop_operation_xyz
'x,y,z'
loop_
_atom_site_label
_atom_site_type_symbol
_atom_site_fract_x
_atom_site_fract_y
_atom_site_fract_z
Te1 Te 0.0000 0.0000 0.0000
O1 O 0.0000 0.0000 0.5000
P1 P 0.5000 0.0000 0.0000
P2 P 0.0000 0.5000 0.0000
Au1 Au 0.5000 0.5000 0.5000
```

***

No. 3
A geometry-optimized TiP2AuO8 structure. Source: the Alexandria database, functional PBE.

## Properties
space-group type: R-3, No. 148

CIF file:
```
data_TiP2AuO8
_chemical_formula_sum 'Ti1 P2 Au1 O8'
_cell_length_a 4.8021
_cell_length_b 4.8021
_cell_length_c 7.9149
_cell_angle_alpha 72.34
_cell_angle_beta 72.34
_cell_angle_gamma 60.00
_space_group_name_H-M_alt 'P 1'
_space_group_IT_number 1
loop_
_space_group_symop_operation_xyz
'x,y,z'
loop_
_atom_site_label
_atom_site_type_symbol
_atom_site_fract_x
_atom_site_fract_y
_atom_site_fract_z
Au1 Au 0.5000 0.5000 0.5000
O1 O 0.3996 0.7551 0.8418
O2 O 0.7551 0.0036 0.8418
O3 O 0.6004 0.2449 0.1582
O4 O 0.1875 0.1875 0.4376
O5 O 0.8125 0.8125 0.5624
O6 O 0.2449 0.9964 0.1582
O7 O 0.0036 0.3996 0.8418
O8 O 0.9964 0.6004 0.1582
P1 P 0.7423 0.7423 0.7732
P2 P 0.2577 0.2577 0.2268
Ti1 Ti 0.0000 0.0000 0.0000
```

***

No. 4
A geometry-optimized TlPAuO2 structure. Source: the Alexandria database, functional PBE.

## Properties
polymorph energy (0 for the lowest one): 0.281 eV/atom
space-group type: P4/mmm, No. 123

CIF file:
```
data_TlPAuO2
_chemical_formula_sum 'Tl1 P1 Au1 O2'
_cell_length_a 3.9956
_cell_length_b 3.9956
_cell_length_c 6.4162
_cell_angle_alpha 90.00
_cell_angle_beta 90.00
_cell_angle_gamma 90.00
_space_group_name_H-M_alt 'P 1'
_space_group_IT_number 1
loop_
_space_group_symop_operation_xyz
'x,y,z'
loop_
_atom_site_label
_atom_site_type_symbol
_atom_site_fract_x
_atom_site_fract_y
_atom_site_fract_z
O1 O 0.5000 0.0000 0.0000
O2 O 0.0000 0.5000 0.0000
Au1 Au 0.5000 0.5000 0.5000
P1 P 0.0000 0.0000 0.5000
Tl1 Tl 0.0000 0.0000 0.0000
```

***

No. 5
A geometry-optimized TlPAuO2 structure. Source: the Alexandria database, functional PBE.

## Properties
polymorph energy (0 for the lowest one): 0.000 eV/atom
space-group type: P4/mmm, No. 123

CIF file:
```
data_TlPAuO2
_chemical_formula_sum 'Tl1 P1 Au1 O2'
_cell_length_a 4.0953
_cell_length_b 4.0953
_cell_length_c 5.0309
_cell_angle_alpha 90.00
_cell_angle_beta 90.00
_cell_angle_gamma 90.00
_space_group_name_H-M_alt 'P 1'
_space_group_IT_number 1
loop_
_space_group_symop_operation_xyz
'x,y,z'
loop_
_atom_site_label
_atom_site_type_symbol
_atom_site_fract_x
_atom_site_fract_y
_atom_site_fract_z
Tl1 Tl 0.5000 0.5000 0.5000
O1 O 0.0000 0.5000 0.0000
O2 O 0.5000 0.0000 0.0000
Au1 Au 0.0000 0.0000 0.0000
P1 P 0.0000 0.0000 0.5000
```

***

No. 6
A geometry-optimized TlP2AuO8 structure. Source: the Alexandria database, functional PBE.

## Properties
space-group type: R-3, No. 148

CIF file:
```
data_TlP2AuO8
_chemical_formula_sum 'Tl1 P2 Au1 O8'
_cell_length_a 4.8251
_cell_length_b 4.8251
_cell_length_c 9.3327
_cell_angle_alpha 75.02
_cell_angle_beta 75.02
_cell_angle_gamma 60.00
_space_group_name_H-M_alt 'P 1'
_space_group_IT_number 1
loop_
_space_group_symop_operation_xyz
'x,y,z'
loop_
_atom_site_label
_atom_site_type_symbol
_atom_site_fract_x
_atom_site_fract_y
_atom_site_fract_z
O1 O 0.6023 0.2714 0.1418
O2 O 0.3977 0.7286 0.8582
O3 O 0.7286 0.0155 0.8582
O4 O 0.7893 0.7893 0.6320
O5 O 0.2107 0.2107 0.3680
O6 O 0.9845 0.6023 0.1418
O7 O 0.2714 0.9845 0.1418
O8 O 0.0155 0.3977 0.8582
Tl1 Tl 0.5000 0.5000 0.5000
P1 P 0.2674 0.2674 0.1978
P2 P 0.7326 0.7326 0.8022
Au1 Au 0.0000 0.0000 0.0000
```

***

Across the entries above, raw formation energy takes the values 64 67 -178 64 37 -124 kJ/mol of atoms, respectively.